The following is a PBE+U calculation of a geometry-optimized Li2VAuO structure, from the Alexandria database.

CIF file:
```
data_Li2VAuO
_cell_length_a 4.138
_cell_length_b 4.138
_cell_length_c 3.910
_cell_angle_alpha 90.00
_cell_angle_beta 90.00
_cell_angle_gamma 90.00
_symmetry_space_group_name_H-M 'P 4/m m m'
_symmetry_Int_Tables_number 123
_symmetry_space_group_name_Hall '-P 4 2'
loop_
_atom_site_label
_atom_site_type_symbol
_atom_site_fract_x
_atom_site_fract_y
_atom_site_fract_z
Li1 Li 0.000 0.500 0.000
V1 V 0.000 0.000 0.500
Au1 Au 0.500 0.500 0.500
O1 O 0.000 0.000 0.000
```

Properties
Fermi-level density of states in states/eV/cell: 2.9
VASP energy in eV/cell: -23.87